# SiBH2 PBE optimized geometry
data_SiBH2
_cell_length_a 3.439
_cell_length_b 3.835
_cell_length_c 12.524
_cell_angle_alpha 90.00
_cell_angle_beta 102.23
_cell_angle_gamma 90.00
_space_group_name_H-M_alt 'P 1 21/c 1'
_space_group_IT_number 14
_space_group_name_Hall '-P 2ybc'
loop_
_atom_site_label
_atom_site_fract_x
_atom_site_fract_y
_atom_site_fract_z
_atom_site_occupancy
Si1 0.151 0.006 0.220 1
B1 0.119 0.601 0.560 1
H1 0.235 0.151 0.003 1
H2 0.308 0.645 0.050 1
# Polymorph energy (0 for the lowest one) (meV/atom): 0
# Crystal system: monoclinic


# GaSn2N2 PBE optimized geometry
data_GaSn2N2
_cell_length_a 8.289
_cell_length_b 8.289
_cell_length_c 3.095
_cell_angle_alpha 90.00
_cell_angle_beta 90.00
_cell_angle_gamma 90.00
_space_group_name_H-M_alt 'P 4/m b m'
_space_group_IT_number 127
_space_group_name_Hall '-P 4 2ab'
loop_
_atom_site_label
_atom_site_fract_x
_atom_site_fract_y
_atom_site_fract_z
_atom_site_occupancy
Ga1 0.000 0.000 0.000 1
Sn1 0.229 0.271 0.000 1
N1 0.050 0.450 0.500 1
# Polymorph energy (0 for the lowest one) (meV/atom): 0
# Crystal system: tetragonal
# Uncorrected formation energy (eV per atom): 0.439


# Ta2Nb8Mo PBE optimized geometry
data_Ta2Nb8Mo
_cell_length_a 14.495
_cell_length_b 5.472
_cell_length_c 5.251
_cell_angle_alpha 90.00
_cell_angle_beta 94.88
_cell_angle_gamma 90.00
_space_group_name_H-M_alt 'C 1 2/m 1'
_space_group_IT_number 12
_space_group_name_Hall '-C 2y'
loop_
_atom_site_label
_atom_site_fract_x
_atom_site_fract_y
_atom_site_fract_z
_atom_site_occupancy
Ta1 0.240 0.000 0.374 1
Nb1 0.080 0.000 0.117 1
Nb2 0.091 0.255 0.623 1
Nb3 0.203 0.500 0.118 1
Mo1 0.000 0.500 0.000 1
# Crystal system: monoclinic
# ΔE_f (meV per atom): 268


The records above yield Fermi-level density of states values of 0.11; 0.50; 1.00 states/eV per atom, respectively.
The records above yield calculated volume values of 10.09; 21.27; 18.86 A^3/atom, respectively.